Y2Al3GaPt4: relaxed, PBE-GGA.

```
Y2Al3GaPt4
1.0
-0.004 3.810 -1.584
-1.412 -1.489 -3.579
-10.227 1.421 3.445
Y Al Pt Ga
2 3 4 1
Cartesian
-8.325 0.314 0.776
-2.611 2.267 0.087
-5.113 0.710 1.722
-2.057 -0.557 -1.335
-8.878 3.138 2.198
0.000 0.000 0.000
-6.559 2.816 1.417
-0.708 1.160 -2.581
-4.376 -0.235 -0.553
-5.822 1.871 -0.859
```

Crystal system ... tetragonal
Total DFT energy (no corrections) ... -6.2261 eV per atom
Formation enthalpy at 0 K ... -1.0915 eV/atom



NaAcPrTl: relaxed, PBE-GGA.

```
NaAcPrTl
1.0
5.748 0.000 0.000
2.874 4.978 0.000
2.874 1.659 4.693
Ac Na Tl Pr
1 1 1 1
Cartesian
8.622 4.978 3.520
0.000 0.000 0.000
5.748 3.319 2.347
2.874 1.659 1.173
```

Crystal system ... cubic
Total DFT energy (no corrections) ... -3.2393 eV per atom
Formation enthalpy at 0 K ... -0.0960 eV/atom



> formation enthalpy at 0 K of number 2 (NaAcPrTl)?

-0.0960 eV/atom



> The highest formation enthalpy at 0 K belongs to which entry?

NaAcPrTl